The following is a GGA+U calculation of a relaxed structure of NiH6S2O12, from the Alexandria database.

a = 5.977 Å, b = 6.046 Å, c = 7.532 Å
α = 102.49°, β = 76.36°, γ = 112.26°
Fractional coordinates of all 21 atoms:
Ni 0.000 0.000 0.000
H 0.031 0.399 0.159
H 0.969 0.601 0.841
H 0.158 0.908 0.243
H 0.842 0.092 0.757
H 0.277 0.194 0.235
H 0.723 0.806 0.765
S 0.480 0.696 0.275
S 0.520 0.304 0.725
O 0.944 0.283 0.060
O 0.056 0.717 0.940
O 0.372 0.153 0.874
O 0.628 0.847 0.126
O 0.122 0.051 0.228
O 0.878 0.949 0.772
O 0.517 0.461 0.236
O 0.483 0.539 0.764
O 0.566 0.819 0.453
O 0.434 0.181 0.547
O 0.219 0.666 0.288
O 0.781 0.334 0.712

## Properties
total moment = 4.06 μB per cell
total DFT energy (no corrections) = -5.159 eV/atom
relative energy among the computed polymorphs = 0 meV per atom